Material: Li2AgMoF6
Method: DFT, GGA+U
State: relaxed

## Properties
- Density: 4.029 Mg/m³
- Space group: P1 (1)
- DOS(E_F): 0.00 states/eV/atom
- Electronic total energy: -48.92 eV for the cell shown

a = 5.5509 Å, b = 5.5669 Å, c = 5.9540 Å
α = 62.86°, β = 89.61°, γ = 60.48°
Last column: nearest neighbours and their distance in Å.
Positions (direct):
Li 0.0000 0.0000 0.0000  3 F 1.89-1.90
Li 0.4748 0.0266 0.4585  3 F 1.90-1.91
Ag 0.2162 0.5552 0.6579  6 F 2.40-2.58
Mo 0.7071 0.5766 0.1254  6 F 2.10-2.12
F 0.1062 0.1227 0.3292  1 Li 1.91, 1 Mo 2.12
F 0.3113 0.0091 0.8723  1 Li 1.90, 1 Mo 2.10
F 0.4592 0.4158 0.3393  1 Li 1.90, 1 Mo 2.11
F 0.6735 0.4205 0.8737  1 Li 1.89, 1 Mo 2.10
F 0.7552 0.7720 0.3409  1 Li 1.91, 1 Mo 2.11
F 0.9031 0.7889 0.8797  1 Li 1.89, 1 Mo 2.10



Material: Li2AgMoF8
Method: DFT, GGA+U
State: relaxed

## Properties
- Density: 3.920 Mg/m³
- Space group: P-1 (2)
- DOS(E_F): 0.03 states/eV/atom
- Electronic total energy: -56.64 eV for the cell shown

a = 4.7420 Å, b = 4.7447 Å, c = 6.9638 Å
α = 90.65°, β = 91.52°, γ = 90.36°
Last column: nearest neighbours and their distance in Å.
Positions (direct):
Li 0.0024 0.0101 0.2759  4 F 2.02-2.04
Li 0.9976 0.9899 0.7241  4 F 2.02-2.04
Ag 0.5000 0.5000 0.5000  4 F 2.08-2.32
Mo 0.5000 0.5000 0.0000  6 F 1.96-2.05
F 0.1903 0.8085 0.4994  2 Li 2.02, 1 Ag 2.08
F 0.2071 0.7909 0.9958  1 Mo 1.96
F 0.2928 0.2912 0.7936  1 Mo 1.97, 1 Li 2.04
F 0.3035 0.3028 0.2207  1 Li 2.03, 1 Mo 2.05
F 0.6965 0.6972 0.7793  1 Li 2.03, 1 Mo 2.05
F 0.7072 0.7088 0.2064  1 Mo 1.97, 1 Li 2.04
F 0.7929 0.2091 0.0042  1 Mo 1.96
F 0.8097 0.1915 0.5006  2 Li 2.02, 1 Ag 2.08



Material: Li2AgMoF
Method: DFT, GGA+U
State: relaxed

## Properties
- Density: 2.996 Mg/m³
- Space group: P4/mmm (123)
- DOS(E_F): 0.59 states/eV/atom
- Electronic total energy: -14.39 eV for the cell shown

a = 4.8975 Å, b = 4.8975 Å, c = 5.4689 Å
α = 90.00°, β = 90.00°, γ = 90.00°
Last column: nearest neighbours and their distance in Å.
Positions (direct):
Li 0.0000 0.5000 0.0000  2 Ag 2.45
Li 0.5000 0.0000 0.0000  2 Ag 2.45
Ag 0.0000 0.0000 0.0000  4 Li 2.45, 2 Mo 2.73
Mo 0.0000 0.0000 0.5000  2 Ag 2.73
F 0.5000 0.5000 0.5000  4 Mo 3.46, 8 Li 3.67